A relaxed structure of KPF6. Source: Alexandria via LeMat-Bulk, functional PBE.

abc: 7.784 7.784 7.784
angles: 90.00 90.00 90.00
Space group Pa-3 (No. 205)
Unique sites:
K (0.000, 0.000, 0.000) (multiplicity 4)
P (0.000, 0.000, 0.500) (multiplicity 4)
F (0.068, 0.121, 0.658) (multiplicity 24)

Values from the calculation:
uncorrected formation energy = -2770 meV per atom
ρ = 2.6 g/cm³
V = 471.7 Å³/cell
D(E_F) = 0.0 states/eV/f.u.
VASP energy = -4.99 eV per atom